No. 1
The following is a PBE calculation of a relaxed AsBr2NF crystal, from Alexandria via LeMat-Bulk.

Results
raw formation energy	0.76	eV per atom
offset from the most stable computed form	0	meV per atom
DOS(E_F)	1.9	states/eV per cell
final energy	-2.874	eV/atom

Cell lengths 4.552, 4.552, 4.382 Å; angles 90.00, 90.00, 90.00 degrees
Atoms (fractional coordinates):
N  0.000  0.000  0.000
Br  0.000  0.500  0.000
Br  0.500  0.000  0.000
As  0.000  0.000  0.500
F  0.500  0.500  0.500

---

No. 2
The following is a PBE calculation of a relaxed AsBr2NF crystal, from Alexandria via LeMat-Bulk.

Results
raw formation energy	1.04	eV per atom
offset from the most stable computed form	272	meV per atom
DOS(E_F)	5.4	states/eV per cell
final energy	-2.602	eV/atom

Cell lengths 5.670, 5.670, 3.891 Å; angles 90.00, 90.00, 90.00 degrees
Atoms (fractional coordinates):
F  0.000  0.000  0.000
Br  0.500  0.000  0.000
Br  0.000  0.500  0.000
As  0.000  0.000  0.500
N  0.500  0.500  0.500

---

No. 3
The following is a PBE calculation of a relaxed NaAs2BrF crystal, from Alexandria via LeMat-Bulk.

Results
raw formation energy	-0.29	eV per atom
offset from the most stable computed form	0	meV per atom
DOS(E_F)	3.3	states/eV per cell
final energy	-3.123	eV/atom

Cell lengths 4.320, 4.320, 6.885 Å; angles 90.00, 90.00, 90.00 degrees
Atoms (fractional coordinates):
As  0.000  0.500  0.000
As  0.500  0.000  0.000
F  0.000  0.000  0.000
Na  0.500  0.500  0.500
Br  0.000  0.000  0.500

---

No. 4
The following is a PBE calculation of a relaxed NaAsBr2F crystal, from Alexandria via LeMat-Bulk.

Results
raw formation energy	-0.63	eV per atom
offset from the most stable computed form	0	meV per atom
DOS(E_F)	1.3	states/eV per cell
final energy	-2.868	eV/atom

Cell lengths 5.787, 5.787, 3.892 Å; angles 90.00, 90.00, 90.00 degrees
Atoms (fractional coordinates):
F  0.000  0.000  0.000
Br  0.500  0.000  0.000
Br  0.000  0.500  0.000
Na  0.500  0.500  0.500
As  0.000  0.000  0.500

---

No. 5
The following is a PBE calculation of a relaxed NaAsBr2F crystal, from Alexandria via LeMat-Bulk.

Results
raw formation energy	0.22	eV per atom
offset from the most stable computed form	847	meV per atom
DOS(E_F)	8.9	states/eV per cell
final energy	-2.020	eV/atom

Cell lengths 5.249, 5.249, 6.180 Å; angles 90.00, 90.00, 90.00 degrees
Atoms (fractional coordinates):
F  0.500  0.500  0.500
Na  0.000  0.000  0.000
Br  0.000  0.500  0.000
Br  0.500  0.000  0.000
As  0.000  0.000  0.500

---

No. 6
The following is a PBE calculation of a relaxed NaAs2BrF crystal, from Alexandria via LeMat-Bulk.

Results
raw formation energy	0.61	eV per atom
offset from the most stable computed form	901	meV per atom
DOS(E_F)	3.7	states/eV per cell
final energy	-2.222	eV/atom

Cell lengths 5.134, 5.134, 5.093 Å; angles 90.00, 90.00, 90.00 degrees
Atoms (fractional coordinates):
Br  0.000  0.000  0.500
F  0.500  0.500  0.500
Na  0.000  0.000  0.000
As  0.500  0.000  0.000
As  0.000  0.500  0.000

---

Among the records above, which one has the lowest raw formation energy? number 4

---

offset from the most stable computed form of number 3 (NaAs2BrF)? 0 meV per atom

---

What is the DOS(E_F) in the sixth record? 3.7 states/eV per cell

---

Among the records above, which one has the lowest final energy? number 3